Compound: NpHgMoO6
Source: Alexandria via LeMat-Bulk
Functional: PBE with a Hubbard U
Structure: optimized geometry

abc: 5.5364 5.5364 9.8314
angles: 90.00 90.00 120.00
Sites, in units of the cell vectors:
O  0.3646  0.3584  0.8591
O  0.0062  0.6416  0.3591
O  0.3584  0.3646  0.3591
O  0.0062  0.3646  0.1409
O  0.6416  0.0062  0.8591
O  0.6354  0.6416  0.1409
O  0.6416  0.6354  0.6409
O  0.6354  0.9938  0.3591
O  0.9938  0.6354  0.8591
O  0.3584  0.9938  0.1409
O  0.9938  0.3584  0.6409
O  0.3646  0.0062  0.6409
Mo  0.3333  0.6667  0.2500
Mo  0.6667  0.3333  0.7500
Hg  0.0000  0.0000  0.0000
Hg  0.0000  0.0000  0.5000
Np  0.6667  0.3333  0.2500
Np  0.3333  0.6667  0.7500

DFT total energy   -7.34 eV per atom
Total moment   6.0 Bohr magnetons per cell